(1)
Here is a relaxed Ag2HSe crystal from the Alexandria database. Energies are from PBE-GGA.

Cell and atoms, written as POSCAR:
```
Ag2HSe
1.0
-1.389 4.848 -0.782
-3.936 -1.585 -2.835
-5.764 1.453 2.597
Ag H Se
4 2 2
Direct
0.246 0.625 0.250
0.375 0.496 0.750
0.504 0.125 0.250
0.875 0.754 0.750
0.250 0.750 0.500
0.500 0.500 0.000
0.750 0.250 0.500
0.000 0.000 0.000
```

Output
As for the density of states at the Fermi level: 4.4 states/eV per cell. The offset from the most stable computed form comes out at 37 meV/atom. The energy is -2.934 eV per atom.

(2)
Here is a relaxed AgHSe crystal from the Alexandria database. Energies are from PBE-GGA.

Cell and atoms, written as POSCAR:
```
AgHSe
1.0
3.976 0.000 0.000
0.000 3.976 0.000
-1.988 -1.988 3.654
Se Ag H
1 1 1
Direct
0.382 0.382 0.764
0.878 0.878 0.756
0.590 0.590 0.180
```

Output
As for the density of states at the Fermi level: 0.7 states/eV per cell. The offset from the most stable computed form comes out at 98 meV/atom. The energy is -3.178 eV per atom.

(3)
Here is a relaxed AgH2Se2 crystal from the Alexandria database. Energies are from PBE-GGA.

Cell and atoms, written as POSCAR:
```
AgH2Se2
1.0
7.396 0.000 0.000
0.000 7.396 0.000
0.000 0.000 3.109
Ag Se H
2 4 4
Direct
0.000 0.000 0.000
0.500 0.500 0.000
0.298 0.798 0.500
0.798 0.702 0.500
0.202 0.298 0.500
0.702 0.202 0.500
0.371 0.871 0.000
0.129 0.371 0.000
0.871 0.629 0.000
0.629 0.129 0.000
```

Output
As for the density of states at the Fermi level: 4.1 states/eV per cell. The offset from the most stable computed form comes out at 285 meV/atom. The energy is -2.986 eV per atom.

(4)
Here is a relaxed Ag3H2Se2 crystal from the Alexandria database. Energies are from PBE-GGA.

Cell and atoms, written as POSCAR:
```
Ag3H2Se2
1.0
-1.707 2.572 -0.342
-4.569 -3.313 -2.382
-10.286 -2.657 2.622
Ag Se H
3 2 2
Direct
0.198 0.354 0.303
0.000 0.000 0.000
0.802 0.646 0.697
0.866 0.194 0.635
0.134 0.806 0.365
0.857 0.553 0.146
0.143 0.447 0.854
```

Output
As for the density of states at the Fermi level: 0.7 states/eV per cell. The energy is -2.991 eV per atom.

(5)
Here is a relaxed AgH2Se2 crystal from the Alexandria database. Energies are from PBE-GGA.

Cell and atoms, written as POSCAR:
```
AgH2Se2
1.0
3.242 0.000 0.000
0.000 3.242 0.000
1.621 1.621 6.570
Se Ag H
2 1 2
Direct
0.648 0.648 0.705
0.352 0.352 0.295
0.000 0.000 0.000
0.250 0.750 0.500
0.750 0.250 0.500
```

Output
As for the density of states at the Fermi level: 2.7 states/eV per cell. The offset from the most stable computed form comes out at 510 meV/atom. The energy is -2.761 eV per atom.

(6)
Here is a relaxed Ag2H3Se crystal from the Alexandria database. Energies are from PBE-GGA.

Cell and atoms, written as POSCAR:
```
Ag2H3Se
1.0
-7.836 1.325 3.467
0.196 -4.493 -0.747
5.071 1.838 4.354
H Se Ag
6 2 4
Direct
0.024 0.319 0.115
0.418 0.352 0.785
0.582 0.648 0.215
0.976 0.681 0.885
0.097 0.162 0.729
0.903 0.838 0.271
0.221 0.507 0.299
0.779 0.493 0.701
0.830 0.919 0.506
0.330 0.410 0.993
0.170 0.081 0.494
0.670 0.590 0.007
```

Output
As for the density of states at the Fermi level: 0.5 states/eV per cell. The energy is -3.074 eV per atom.

(7)
Here is a relaxed Ag3HSe2 crystal from the Alexandria database. Energies are from PBE-GGA.

Cell and atoms, written as POSCAR:
```
Ag3HSe2
1.0
-0.116 2.078 -5.479
-3.692 -5.613 -2.051
-3.063 4.603 4.945
H Ag Se
2 6 4
Direct
0.000 0.000 0.000
0.000 0.500 0.000
0.748 0.998 0.497
0.748 0.498 0.497
0.500 0.250 0.000
0.500 0.750 0.000
0.252 0.002 0.503
0.252 0.502 0.503
0.321 0.609 0.219
0.102 0.891 0.781
0.898 0.109 0.219
0.679 0.391 0.781
```

Output
As for the density of states at the Fermi level: 1.6 states/eV per cell. The energy is -3.143 eV per atom.

(8)
Here is a relaxed Ag2TeHSe crystal from the Alexandria database. Energies are from PBE-GGA.

Cell and atoms, written as POSCAR:
```
Ag2TeHSe
1.0
5.402 0.000 0.000
0.000 5.402 0.000
0.000 0.000 3.554
Se H Ag Te
1 1 2 1
Direct
0.000 0.000 0.047
0.000 0.000 0.465
0.000 0.500 0.959
0.500 0.000 0.959
0.500 0.500 0.571
```

Output
As for the density of states at the Fermi level: 1.9 states/eV per cell. The energy is -3.042 eV per atom.

(9)
Here is a relaxed SiAgH3 crystal from the Alexandria database. Energies are from PBE-GGA.

Cell and atoms, written as POSCAR:
```
SiAgH3
1.0
3.636 0.000 0.000
0.000 3.636 0.000
0.000 0.000 3.636
H Ag Si
3 1 1
Direct
0.000 0.500 0.000
0.500 0.000 0.000
0.000 0.000 0.500
0.500 0.500 0.500
0.000 0.000 0.000
```

Output
As for the density of states at the Fermi level: 1.0 states/eV per cell. The offset from the most stable computed form comes out at 0 meV/atom. The energy is -3.085 eV per atom.

(10)
Here is a relaxed SiAgH3 crystal from the Alexandria database. Energies are from PBE-GGA.

Cell and atoms, written as POSCAR:
```
SiAgH3
1.0
3.726 0.000 0.000
0.000 3.726 0.000
0.000 0.000 3.726
H Ag Si
3 1 1
Direct
0.000 0.000 0.500
0.500 0.000 0.000
0.000 0.500 0.000
0.000 0.000 0.000
0.500 0.500 0.500
```

Output
As for the density of states at the Fermi level: 1.4 states/eV per cell. The offset from the most stable computed form comes out at 249 meV/atom. The energy is -2.835 eV per atom.

(11)
Here is a relaxed SiAg2H2 crystal from the Alexandria database. Energies are from PBE-GGA.

Cell and atoms, written as POSCAR:
```
SiAg2H2
1.0
3.099 0.000 0.000
0.000 3.099 0.000
1.550 1.550 6.337
Si Ag H
1 2 2
Direct
0.000 0.000 0.000
0.353 0.353 0.294
0.647 0.647 0.706
0.250 0.750 0.500
0.750 0.250 0.500
```

Output
As for the density of states at the Fermi level: 1.1 states/eV per cell. The energy is -3.035 eV per atom.

(12)
Here is a relaxed SiAg3H crystal from the Alexandria database. Energies are from PBE-GGA.

Cell and atoms, written as POSCAR:
```
SiAg3H
1.0
4.188 0.000 0.000
0.000 4.188 0.000
0.000 0.000 4.188
Ag H Si
3 1 1
Direct
0.500 0.000 0.000
0.000 0.000 0.500
0.000 0.500 0.000
0.000 0.000 0.000
0.500 0.500 0.500
```

Output
As for the density of states at the Fermi level: 1.3 states/eV per cell. The offset from the most stable computed form comes out at 0 meV/atom. The energy is -3.094 eV per atom.